Compound: Gd2Tm3Ga3
Source: OQMD
Functional: PBE
Structure: optimized geometry

Values from the calculation:
Calculated total energy, eV per atom: -4.247
SG: P-6m2 (187)

a b c (Å): 6.8994 6.8994 4.8944
angles (deg): 90.00 90.00 120.00
Closest atoms and distances in Å follow each position.
Element x y z (fractional)
Ga: 0.5201 0.0402 0.5000  2 Ga 3.03, 4 Tm 3.05, 2 Gd 3.31
Ga: 0.5201 0.4799 0.5000  2 Ga 3.03, 4 Tm 3.05, 2 Gd 3.31
Ga: 0.9598 0.4799 0.5000  2 Ga 3.03, 4 Tm 3.05, 2 Gd 3.31
Gd: 0.3333 0.6667 0.0000  6 Ga 3.31, 6 Tm 3.45
Gd: 0.0000 0.0000 0.5000  6 Tm 3.24, 6 Ga 3.46
Tm: 0.3541 0.1771 0.0000  4 Ga 3.05, 2 Tm 3.23, 2 Gd 3.24
Tm: 0.8229 0.1771 0.0000  4 Ga 3.05, 2 Tm 3.23, 2 Gd 3.24
Tm: 0.8229 0.6459 0.0000  4 Ga 3.05, 2 Tm 3.23, 2 Gd 3.24